Entry 1:
Material: HRh3Pb
Method: DFT, GGA-PBE
State: optimized geometry

abc: 10.2872 7.8153 7.8153
angles: 75.23 122.51 57.49
With the nearest neighbours (Å) after each atom.
Atoms (fractional coordinates):
Pb  0.0692  0.4663  0.3393  6 Rh 2.76-3.00
Pb  0.4308  0.8393  0.9663  6 Rh 2.76-3.00
Pb  0.9308  0.5337  0.6607  6 Rh 2.76-3.00
Pb  0.5692  0.1607  0.0337  6 Rh 2.76-3.00
H  0.7500  0.2056  0.7056  6 Rh 1.95-2.09
H  0.2500  0.7944  0.2944  6 Rh 1.95-2.09
H  0.7500  0.4322  0.9322  6 Rh 1.93-2.16
H  0.2500  0.5678  0.0678  6 Rh 1.93-2.16
Rh  0.4142  0.4010  0.4831  3 H 1.95-2.16
Rh  0.0858  0.9831  0.9010  3 H 1.95-2.16
Rh  0.5858  0.5990  0.5169  3 H 1.95-2.16
Rh  0.9142  0.0169  0.0990  3 H 1.95-2.16
Rh  0.1046  0.1842  0.1570  2 H 1.98-2.09
Rh  0.3954  0.6570  0.6842  2 H 1.98-2.09
Rh  0.8954  0.8158  0.8430  2 H 1.98-2.09
Rh  0.6046  0.3430  0.3158  2 H 1.98-2.09
Rh  0.5933  0.8151  0.7415  1 H 1.93
Rh  0.9067  0.2415  0.3151  1 H 1.93
Rh  0.4067  0.1849  0.2585  1 H 1.93
Rh  0.0933  0.7585  0.6849  1 H 1.93

Properties
Its spin magnetization is 0.00 μB per formula unit. As for the energy: -5.7314 eV per atom. Its space group is No. 15.

Entry 2:
Material: H12Rh5Pb3
Method: DFT, GGA-PBE
State: optimized geometry

abc: 10.2627 10.2627 10.2627
angles: 109.47 109.47 109.47
With the nearest neighbours (Å) after each atom.
Atoms (fractional coordinates):
Pb  0.7500  0.3750  0.1250  8 H 2.55-2.69
Pb  0.8750  0.7500  0.1250  8 H 2.55-2.69
Pb  0.3750  0.7500  0.6250  8 H 2.55-2.69
Pb  0.2500  0.1250  0.3750  8 H 2.55-2.69
Pb  0.8750  0.1250  0.2500  8 H 2.55-2.69
Pb  0.3750  0.6250  0.2500  8 H 2.55-2.69
Pb  0.6250  0.3750  0.7500  8 H 2.55-2.69
Pb  0.1250  0.8750  0.7500  8 H 2.55-2.69
Pb  0.7500  0.8750  0.6250  8 H 2.55-2.69
Pb  0.6250  0.2500  0.3750  8 H 2.55-2.69
Pb  0.1250  0.2500  0.8750  8 H 2.55-2.69
Pb  0.2500  0.6250  0.8750  8 H 2.55-2.69
Rh  0.1250  0.3750  0.2500  4 H 1.71
Rh  0.0000  0.5000  0.0000  6 H 1.76
Rh  0.0000  0.0000  0.0000  6 H 1.76
Rh  0.3750  0.2500  0.1250  4 H 1.71
Rh  0.5000  0.0000  0.5000  6 H 1.76
Rh  0.5000  0.5000  0.0000  6 H 1.76
Rh  0.1250  0.7500  0.3750  4 H 1.71
Rh  0.7500  0.1250  0.8750  4 H 1.71
Rh  0.7500  0.6250  0.3750  4 H 1.71
Rh  0.3750  0.1250  0.7500  4 H 1.71
Rh  0.6250  0.8750  0.2500  4 H 1.71
Rh  0.5000  0.5000  0.5000  6 H 1.76
Rh  0.5000  0.0000  0.0000  6 H 1.76
Rh  0.0000  0.0000  0.5000  6 H 1.76
Rh  0.2500  0.3750  0.6250  4 H 1.71
Rh  0.2500  0.8750  0.1250  4 H 1.71
Rh  0.0000  0.5000  0.5000  6 H 1.76
Rh  0.8750  0.2500  0.6250  4 H 1.71
Rh  0.6250  0.7500  0.8750  4 H 1.71
Rh  0.8750  0.6250  0.7500  4 H 1.71
H  0.6714  0.0666  0.9822  2 Rh 1.71-1.76
H  0.3107  0.4822  0.4156  2 Rh 1.71-1.76
H  0.0178  0.4334  0.3286  2 Rh 1.71-1.76
H  0.4822  0.1714  0.0666  2 Rh 1.71-1.76
H  0.6049  0.6714  0.6893  2 Rh 1.71-1.76
H  0.0178  0.5844  0.1893  2 Rh 1.71-1.76
H  0.3107  0.8286  0.3951  2 Rh 1.71-1.76
H  0.0844  0.8951  0.0666  2 Rh 1.71-1.76
H  0.5844  0.0178  0.6893  2 Rh 1.71-1.76
H  0.6714  0.6049  0.1893  2 Rh 1.71-1.76
H  0.8286  0.5178  0.4334  2 Rh 1.71-1.76
H  0.8107  0.9156  0.9822  2 Rh 1.71-1.76
H  0.0666  0.6714  0.4822  2 Rh 1.71-1.76
H  0.4334  0.4156  0.1049  2 Rh 1.71-1.76
H  0.1049  0.9156  0.4334  2 Rh 1.71-1.76
H  0.3951  0.0666  0.5844  2 Rh 1.71-1.76
H  0.1049  0.1893  0.1714  2 Rh 1.71-1.76
H  0.5178  0.6893  0.0844  2 Rh 1.71-1.76
H  0.8107  0.8951  0.3286  2 Rh 1.71-1.76
H  0.0666  0.3951  0.0844  2 Rh 1.71-1.76
H  0.4334  0.0178  0.8286  2 Rh 1.71-1.76
H  0.5844  0.5666  0.3951  2 Rh 1.71-1.76
H  0.9156  0.8107  0.4822  2 Rh 1.71-1.76
H  0.8286  0.3107  0.8951  2 Rh 1.71-1.76
H  0.4156  0.4334  0.6049  2 Rh 1.71-1.76
H  0.0844  0.1893  0.5178  2 Rh 1.71-1.76
H  0.1714  0.6893  0.1049  2 Rh 1.71-1.76
H  0.1893  0.1049  0.6714  2 Rh 1.71-1.76
H  0.5666  0.9822  0.1714  2 Rh 1.71-1.76
H  0.9334  0.6049  0.9156  2 Rh 1.71-1.76
H  0.4822  0.3107  0.9156  2 Rh 1.71-1.76
H  0.6049  0.9334  0.4156  2 Rh 1.71-1.76
H  0.8951  0.8107  0.8286  2 Rh 1.71-1.76
H  0.8951  0.0844  0.5666  2 Rh 1.71-1.76
H  0.9334  0.3286  0.5178  2 Rh 1.71-1.76
H  0.1893  0.0844  0.0178  2 Rh 1.71-1.76
H  0.5666  0.5844  0.8951  2 Rh 1.71-1.76
H  0.4156  0.9822  0.3107  2 Rh 1.71-1.76
H  0.3286  0.3951  0.8107  2 Rh 1.71-1.76
H  0.1714  0.4822  0.5666  2 Rh 1.71-1.76
H  0.9156  0.1049  0.9334  2 Rh 1.71-1.76
H  0.6893  0.1714  0.6049  2 Rh 1.71-1.76
H  0.5178  0.8286  0.9334  2 Rh 1.71-1.76
H  0.9822  0.4156  0.8107  2 Rh 1.71-1.76
H  0.3951  0.3286  0.3107  2 Rh 1.71-1.76
H  0.9822  0.5666  0.6714  2 Rh 1.71-1.76
H  0.6893  0.5178  0.5844  2 Rh 1.71-1.76
H  0.3286  0.9334  0.0178  2 Rh 1.71-1.76

Properties
Its spin magnetization is 0.00 μB per formula unit. As for the energy: -4.3127 eV per atom. Its space group is No. 230.

Entry 3:
Material: H5Rh3Pb2
Method: DFT, GGA-PBE
State: optimized geometry

abc: 5.7380 15.8351 14.1469
angles: 29.29 149.58 155.85
With the nearest neighbours (Å) after each atom.
Atoms (fractional coordinates):
H  0.4750  0.1721  0.0158  3 Rh 1.80-1.85
H  0.2650  0.0052  0.2550  2 Rh 1.71-1.75
H  0.5250  0.8279  0.9842  3 Rh 1.80-1.85
H  0.7350  0.9948  0.7450  2 Rh 1.71-1.75
H  0.7332  0.6075  0.7215  1 Rh 1.63
H  0.2668  0.3925  0.2785  1 Rh 1.63
H  0.6797  0.5164  0.4752  3 Rh 1.82-1.87
H  0.3203  0.4836  0.5248  3 Rh 1.82-1.87
H  0.7625  0.3147  0.3081  2 Rh 1.74
H  0.2375  0.6853  0.6919  2 Rh 1.74
Rh  0.6376  0.4319  0.7819  2 H 1.63-1.74
Rh  0.0108  0.7441  0.4556  4 H 1.71-1.87
Rh  0.3624  0.5681  0.2181  2 H 1.63-1.74
Rh  0.9892  0.2559  0.5444  4 H 1.71-1.87
Rh  0.1966  0.9911  0.9884  3 H 1.75-1.85
Rh  0.8034  0.0089  0.0116  3 H 1.75-1.85
Pb  0.6987  0.6110  0.0800  1 H 2.32
Pb  0.2231  0.1039  0.5977  1 H 2.28
Pb  0.3013  0.3890  0.9200  1 H 2.32
Pb  0.7769  0.8961  0.4023  1 H 2.28

Properties
Its spin magnetization is 0.00 μB per formula unit. As for the energy: -4.6284 eV per atom. Its space group is No. 2.

Entry 4:
Material: HRh3Pb
Method: DFT, GGA-PBE
State: optimized geometry

abc: 5.7803 4.9453 5.7803
angles: 105.20 59.71 105.19
With the nearest neighbours (Å) after each atom.
Atoms (fractional coordinates):
Pb  0.2606  0.8976  0.4734  11 Rh 2.78-2.95
Pb  0.9859  0.3384  0.1989  1 H 2.50
H  0.6254  0.1678  0.8384  4 Rh 1.91-2.13
H  0.8843  0.7410  0.0968  3 Rh 1.74-1.87
Rh  0.9884  0.3809  0.7068  1 H 1.93
Rh  0.7403  0.8694  0.9532  1 H 1.74
Rh  0.2582  0.8579  0.9566  1 H 1.87
Rh  0.4934  0.3781  0.7064  1 H 1.91
Rh  0.7438  0.8577  0.4710  1 H 1.87
Rh  0.4938  0.3810  0.2014  1 H 1.93

Properties
Its spin magnetization is 0.00 μB per formula unit. As for the energy: -5.7928 eV per atom. Its space group is No. 8.

Entry 5:
Material: HRh3Pb
Method: DFT, GGA-PBE
State: optimized geometry

abc: 3.9138 6.0355 5.8022
angles: 90.00 90.03 90.00
With the nearest neighbours (Å) after each atom.
Atoms (fractional coordinates):
Pb  0.5000  0.2500  0.5000  10 Rh 2.90-2.91, 2 Pb 3.02
Pb  0.5000  0.7500  0.5000  10 Rh 2.90-2.91, 2 Pb 3.02
H  0.9994  0.2500  0.0007  6 Rh 1.95-2.04
H  0.0006  0.7500  0.9993  6 Rh 1.95-2.04
Rh  0.9997  0.0000  0.7650  2 H 2.03-2.04
Rh  0.0003  0.0000  0.2350  2 H 2.03-2.04
Rh  0.9997  0.5000  0.7650  2 H 2.03-2.04
Rh  0.0003  0.5000  0.2350  2 H 2.03-2.04
Rh  0.4999  0.2500  0.0000  2 H 1.95-1.96
Rh  0.5001  0.7500  0.0000  2 H 1.95-1.96

Properties
Its spin magnetization is 0.00 μB per formula unit. As for the energy: -5.7275 eV per atom. Its space group is No. 47.

Entry 6:
Material: HRhPb
Method: DFT, GGA-PBE
State: optimized geometry

abc: 4.2344 3.5849 6.5259
angles: 89.97 89.97 90.00
With the nearest neighbours (Å) after each atom.
Atoms (fractional coordinates):
H  0.7493  0.2501  0.4155  2 Rh 1.83
H  0.2507  0.7499  0.5845  2 Rh 1.83
Rh  0.2501  0.2499  0.5256  2 H 1.83
Rh  0.7499  0.7501  0.4744  2 H 1.83
Pb  0.2500  0.7502  0.1824  1 H 2.62, 4 Rh 2.85-2.87
Pb  0.7500  0.2498  0.8176  1 H 2.62, 4 Rh 2.85-2.87

Properties
Its spin magnetization is 0.00 μB per formula unit. As for the energy: -4.8192 eV per atom. Its space group is No. 11.

Entry 7:
Material: H6Rh3Pb
Method: DFT, GGA-PBE
State: optimized geometry

abc: 5.3392 6.1359 6.1359
angles: 102.95 90.00 90.00
With the nearest neighbours (Å) after each atom.
Atoms (fractional coordinates):
H  0.2745  0.7327  0.7344  3 Rh 1.78-1.86
H  0.7745  0.7344  0.7327  3 Rh 1.78-1.86
H  0.2719  0.5011  0.0030  2 Rh 1.76
H  0.7719  0.0030  0.5011  2 Rh 1.76
H  0.0241  0.8472  0.1528  2 Rh 1.77
H  0.5235  0.3867  0.6133  2 Rh 1.72
H  0.0235  0.6133  0.3867  2 Rh 1.72
H  0.5241  0.1528  0.8472  2 Rh 1.77
H  0.2719  0.9970  0.4989  2 Rh 1.76
H  0.7719  0.4989  0.9970  2 Rh 1.76
H  0.2745  0.2656  0.2673  3 Rh 1.78-1.86
H  0.7745  0.2673  0.2656  3 Rh 1.78-1.86
Rh  0.5232  0.9026  0.6385  5 H 1.76-1.86
Rh  0.0232  0.6385  0.9026  5 H 1.76-1.86
Rh  0.2736  0.4998  0.5002  4 H 1.72-1.78
Rh  0.7736  0.5002  0.4998  4 H 1.72-1.78
Rh  0.0232  0.0974  0.3615  5 H 1.76-1.86
Rh  0.5232  0.3615  0.0974  5 H 1.76-1.86
Pb  0.0250  0.1548  0.8452  6 H 2.50-2.67
Pb  0.5250  0.8452  0.1548  6 H 2.50-2.67

Properties
Its spin magnetization is 0.00 μB per formula unit. As for the energy: -4.5016 eV per atom. Its space group is No. 36.

Entry 8:
Material: H2RhPb
Method: DFT, GGA-PBE
State: optimized geometry

abc: 4.8481 5.4834 8.5729
angles: 89.80 90.00 90.00
With the nearest neighbours (Å) after each atom.
Atoms (fractional coordinates):
H  0.7265  0.0007  0.9990  2 Rh 1.76
H  0.2735  0.9993  0.0010  2 Rh 1.76
H  0.2265  0.4993  0.5010  2 Rh 1.76
H  0.7735  0.5007  0.4990  2 Rh 1.76
H  0.6246  0.4989  0.1082  2 Rh 1.76
H  0.3754  0.5011  0.8918  2 Rh 1.76
H  0.1246  0.0011  0.3918  2 Rh 1.76
H  0.8754  0.9989  0.6082  2 Rh 1.76
Rh  0.9989  0.2499  0.5003  4 H 1.76
Rh  0.0011  0.7501  0.4997  4 H 1.76
Rh  0.4989  0.2501  0.9997  4 H 1.76
Rh  0.5011  0.7499  0.0003  4 H 1.76
Pb  0.0844  0.5007  0.2030  2 H 2.37-2.65
Pb  0.9156  0.4993  0.7970  2 H 2.37-2.65
Pb  0.5844  0.9993  0.2970  2 H 2.37-2.65
Pb  0.4156  0.0007  0.7030  2 H 2.37-2.65

Properties
Its spin magnetization is 0.00 μB per formula unit. As for the energy: -4.4389 eV per atom. Its space group is No. 14.